# 1
First-principles (PBE-GGA) data for Y2GeAs after structural relaxation, as listed in Alexandria.

Excess energy over the best structure of this formula in the dataset, meV/atom: 410
Crystal system: tetragonal
Total DFT energy (no corrections), eV/atom: -6.353
Energy of formation, meV per atom: -804
V, Å³ per atom: 25.30

Geometry as CIF:
```
data_Y2GeAs
_space_group_name_H-M_alt 'I -4 2 d'
_space_group_IT_number 122
_space_group_name_Hall 'I -4 2bw'
_cell_length_a 7.636
_cell_length_b 7.636
_cell_length_c 6.942
_cell_angle_alpha 90.00
_cell_angle_beta 90.00
_cell_angle_gamma 90.00
loop_
_atom_site_label
_atom_site_fract_x
_atom_site_fract_y
_atom_site_fract_z
Y1 0.246 0.250 0.125
Ge1 0.000 0.000 0.500
As1 0.000 0.000 0.000
```



# 2
First-principles (PBE-GGA) data for Pu5Ge2H2 after structural relaxation, as listed in Alexandria.

Crystal system: orthorhombic
Total DFT energy (no corrections), eV/atom: -9.897
V, Å³ per atom: 18.68

Geometry as CIF:
```
data_Pu5Ge2H2
_space_group_name_H-M_alt 'I m a 2'
_space_group_IT_number 46
_cell_length_a 13.526
_cell_length_b 8.008
_cell_length_c 6.209
_cell_angle_alpha 90.00
_cell_angle_beta 90.00
_cell_angle_gamma 90.00
loop_
_space_group_symop_operation_xyz
'x,y,z'
'-x,-y,z'
'-x+1/2,y,z'
'x+1/2,-y,z'
'x+1/2,y+1/2,z+1/2'
'-x+1/2,-y+1/2,z+1/2'
'-x,y+1/2,z+1/2'
'x,-y+1/2,z+1/2'
loop_
_atom_site_label
_atom_site_fract_x
_atom_site_fract_y
_atom_site_fract_z
Pu1 0.000 0.247 0.000
Pu2 0.125 0.106 0.759
Pu3 0.250 0.745 0.485
Ge1 0.129 0.010 0.249
H1 0.000 0.000 0.615
H2 0.250 0.555 0.225
```



# 3
First-principles (PBE-GGA) data for NdEr2Tl after structural relaxation, as listed in Alexandria.

Excess energy over the best structure of this formula in the dataset, meV/atom: 188
Crystal system: cubic
Total DFT energy (no corrections), eV/atom: -4.053
Energy of formation, meV per atom: 12
V, Å³ per atom: 29.07

Geometry as CIF:
```
data_NdEr2Tl
_space_group_name_H-M_alt 'F m -3 m'
_space_group_IT_number 225
_space_group_name_Hall '-F 4 2 3'
_cell_length_a 7.748
_cell_length_b 7.748
_cell_length_c 7.748
_cell_angle_alpha 90.00
_cell_angle_beta 90.00
_cell_angle_gamma 90.00
loop_
_atom_site_label
_atom_site_fract_x
_atom_site_fract_y
_atom_site_fract_z
Nd1 0.000 0.000 0.000
Er1 0.250 0.250 0.250
Tl1 0.000 0.000 0.500
```



# 4
First-principles (PBE-GGA) data for La2TbNdTh after structural relaxation, as listed in Alexandria.

Crystal system: monoclinic
Total DFT energy (no corrections), eV/atom: -5.267
Energy of formation, meV per atom: 67
V, Å³ per atom: 34.42

Geometry as CIF:
```
data_La2TbNdTh
_space_group_name_H-M_alt 'C 1 2/m 1'
_space_group_IT_number 12
_cell_length_a 17.043
_cell_length_b 5.798
_cell_length_c 7.123
_cell_angle_alpha 90.00
_cell_angle_beta 102.06
_cell_angle_gamma 90.00
loop_
_space_group_symop_operation_xyz
'x,y,z'
'-x,-y,-z'
'-x,y,-z'
'x,-y,z'
'x+1/2,y+1/2,z'
'-x+1/2,-y+1/2,-z'
'-x+1/2,y+1/2,-z'
'x+1/2,-y+1/2,z'
loop_
_atom_site_label
_atom_site_fract_x
_atom_site_fract_y
_atom_site_fract_z
La1 0.100 0.000 0.299
La2 0.204 0.500 0.347
Tb1 0.203 0.500 0.855
Nd1 0.095 0.000 0.799
Th1 0.000 0.500 0.000
Th2 0.000 0.500 0.500
```



# 5
First-principles (PBE-GGA) data for LaHo4Tm15 after structural relaxation, as listed in Alexandria.

Crystal system: tetragonal
Total DFT energy (no corrections), eV/atom: -4.486
Energy of formation, meV per atom: 29
V, Å³ per atom: 30.54

Geometry as CIF:
```
data_LaHo4Tm15
_space_group_name_H-M_alt 'P 4/m m m'
_space_group_IT_number 123
_space_group_name_Hall '-P 4 2'
_cell_length_a 4.961
_cell_length_b 4.961
_cell_length_c 24.813
_cell_angle_alpha 90.00
_cell_angle_beta 90.00
_cell_angle_gamma 90.00
loop_
_atom_site_label
_atom_site_fract_x
_atom_site_fract_y
_atom_site_fract_z
La1 0.000 0.000 0.000
Ho1 0.000 0.000 0.201
Ho2 0.000 0.000 0.401
Tm1 0.000 0.500 0.103
Tm2 0.000 0.500 0.301
Tm3 0.000 0.500 0.500
Tm4 0.500 0.500 0.000
Tm5 0.500 0.500 0.202
Tm6 0.500 0.500 0.400
```



# 6
First-principles (PBE-GGA) data for Li2AcSm2Ge2 after structural relaxation, as listed in Alexandria.

Crystal system: trigonal
Total DFT energy (no corrections), eV/atom: -4.278
Energy of formation, meV per atom: -477
V, Å³ per atom: 24.98

Geometry as CIF:
```
data_Li2AcSm2Ge2
_space_group_name_H-M_alt 'R -3 m'
_space_group_IT_number 166
_space_group_name_Hall '-R 3 2"'
_cell_length_a 4.6230
_cell_length_b 4.6230
_cell_length_c 28.3456
_cell_angle_alpha 90.00
_cell_angle_beta 90.00
_cell_angle_gamma 120.00
loop_
_atom_site_label
_atom_site_fract_x
_atom_site_fract_y
_atom_site_fract_z
Li1 0.0000 0.0000 0.0877
Ac1 0.0000 0.0000 0.5000
Sm1 0.0000 0.0000 0.3699
Ge1 0.0000 0.0000 0.2442
```



# 7
First-principles (PBE-GGA) data for Pr2DyTlC after structural relaxation, as listed in Alexandria.

Crystal system: tetragonal
Total DFT energy (no corrections), eV/atom: -5.451
Energy of formation, meV per atom: -301
V, Å³ per atom: 26.54

Geometry as CIF:
```
data_Pr2DyTlC
_space_group_name_H-M_alt 'P 4/m m m'
_space_group_IT_number 123
_space_group_name_Hall '-P 4 2'
_cell_length_a 5.186
_cell_length_b 5.186
_cell_length_c 4.934
_cell_angle_alpha 90.00
_cell_angle_beta 90.00
_cell_angle_gamma 90.00
loop_
_atom_site_label
_atom_site_fract_x
_atom_site_fract_y
_atom_site_fract_z
Pr1 0.000 0.500 0.000
Dy1 0.000 0.000 0.500
Tl1 0.500 0.500 0.500
C1 0.000 0.000 0.000
```



# 8
First-principles (PBE-GGA) data for Ta3V2Ru after structural relaxation, as listed in Alexandria.

Crystal system: tetragonal
Total DFT energy (no corrections), eV/atom: -10.714
Energy of formation, meV per atom: -202
V, Å³ per atom: 15.87

Geometry as CIF:
```
data_Ta3V2Ru
_space_group_name_H-M_alt 'P 4/m m m'
_space_group_IT_number 123
_space_group_name_Hall '-P 4 2'
_cell_length_a 3.153
_cell_length_b 3.153
_cell_length_c 9.577
_cell_angle_alpha 90.00
_cell_angle_beta 90.00
_cell_angle_gamma 90.00
loop_
_atom_site_label
_atom_site_fract_x
_atom_site_fract_y
_atom_site_fract_z
Ta1 0.000 0.000 0.000
Ta2 0.000 0.000 0.331
V1 0.500 0.500 0.166
Ru1 0.500 0.500 0.500
```



# 9
First-principles (PBE-GGA) data for YTh2Cd after structural relaxation, as listed in Alexandria.

Excess energy over the best structure of this formula in the dataset, meV/atom: 0
Crystal system: tetragonal
Total DFT energy (no corrections), eV/atom: -5.578
Energy of formation, meV per atom: -23
V, Å³ per atom: 29.62

Geometry as CIF:
```
data_YTh2Cd
_space_group_name_H-M_alt 'P 4/m m m'
_space_group_IT_number 123
_space_group_name_Hall '-P 4 2'
_cell_length_a 4.824
_cell_length_b 4.824
_cell_length_c 5.092
_cell_angle_alpha 90.00
_cell_angle_beta 90.00
_cell_angle_gamma 90.00
loop_
_atom_site_label
_atom_site_fract_x
_atom_site_fract_y
_atom_site_fract_z
Y1 0.000 0.000 0.000
Th1 0.000 0.500 0.500
Cd1 0.500 0.500 0.000
```



# 10
First-principles (PBE-GGA) data for BaV2Au after structural relaxation, as listed in Alexandria.

Excess energy over the best structure of this formula in the dataset, meV/atom: 193
Crystal system: cubic
Total DFT energy (no corrections), eV/atom: -4.996
Energy of formation, meV per atom: 863
V, Å³ per atom: 21.88

Geometry as CIF:
```
data_BaV2Au
_space_group_name_H-M_alt 'F m -3 m'
_space_group_IT_number 225
_space_group_name_Hall '-F 4 2 3'
_cell_length_a 7.048
_cell_length_b 7.048
_cell_length_c 7.048
_cell_angle_alpha 90.00
_cell_angle_beta 90.00
_cell_angle_gamma 90.00
loop_
_atom_site_label
_atom_site_fract_x
_atom_site_fract_y
_atom_site_fract_z
Ba1 0.000 0.000 0.000
V1 0.250 0.250 0.250
Au1 0.000 0.000 0.500
```



# 11
First-principles (PBE-GGA) data for InPIO2 after structural relaxation, as listed in Alexandria.

Excess energy over the best structure of this formula in the dataset, meV/atom: 0
Crystal system: tetragonal
Total DFT energy (no corrections), eV/atom: -3.947
Uncorrected formation energy, eV/atom: -0.024
V, Å³ per atom: 17.10

Geometry as CIF:
```
data_InPIO2
_space_group_name_H-M_alt 'P 4/m m m'
_space_group_IT_number 123
_space_group_name_Hall '-P 4 2'
_cell_length_a 4.003
_cell_length_b 4.003
_cell_length_c 5.335
_cell_angle_alpha 90.00
_cell_angle_beta 90.00
_cell_angle_gamma 90.00
loop_
_atom_site_label
_atom_site_fract_x
_atom_site_fract_y
_atom_site_fract_z
In1 0.000 0.000 0.000
P1 0.500 0.500 0.500
I1 0.500 0.500 0.000
O1 0.000 0.500 0.500
```